Record 1
The following is a DFT calculation (PBE) of an optimized crystal structure of Nd6YIn.

Results
- ΔE_f: -0.12 eV per atom

a = 5.0378 Å, b = 5.0378 Å, c = 10.3540 Å
α = 90.00°, β = 90.00°, γ = 90.00°
Last column: nearest neighbours and their distance in Å.
Element x y z (fractional)
Nd1 0.0000 0.0000 0.0000  8 Nd 3.56, 4 In 3.56
Nd2 0.0000 0.0000 0.5000  4 Y 3.56, 8 Nd 3.67
Nd3 0.0000 0.5000 0.2425  2 In 3.56, 8 Nd 3.56-3.67, 2 Y 3.67
Nd4 0.0000 0.5000 0.7575  2 In 3.56, 8 Nd 3.56-3.67, 2 Y 3.67
Nd5 0.5000 0.0000 0.2425  2 In 3.56, 8 Nd 3.56-3.67, 2 Y 3.67
Nd6 0.5000 0.0000 0.7575  2 In 3.56, 8 Nd 3.56-3.67, 2 Y 3.67
Y1 0.5000 0.5000 0.5000  12 Nd 3.56-3.67
In1 0.5000 0.5000 0.0000  12 Nd 3.56

---

Record 2
The following is a DFT calculation (PBE) of an optimized crystal structure of LiAl3.

Results
- ΔE_f: -0.01 eV per atom

a = 2.8742 Å, b = 2.8742 Å, c = 9.2789 Å
α = 90.00°, β = 90.00°, γ = 120.00°
Last column: nearest neighbours and their distance in Å.
Element x y z (fractional)
Li1 0.0000 0.0000 0.0000  6 Al 2.83, 6 Li 2.87
Al1 0.0000 0.0000 0.5000  12 Al 2.87-2.88
Al2 0.3333 0.6667 0.2468  3 Li 2.83, 9 Al 2.87-2.88
Al3 0.3333 0.6667 0.7532  3 Li 2.83, 9 Al 2.87-2.88

---

Record 3
The following is a DFT calculation (PBE) of an optimized crystal structure of AcDyTiN3.

Results
- Uncorrected formation energy: -7.662 eV per formula unit

a = 7.5474 Å, b = 3.6351 Å, c = 7.8578 Å
α = 90.00°, β = 101.72°, γ = 90.00°
Last column: nearest neighbours and their distance in Å.
Element x y z (fractional)
Ac1 0.1858 0.2500 0.1896  5 N 2.62-2.88
Ac2 0.8142 0.7500 0.8104  5 N 2.62-2.88
Dy1 0.3609 0.7500 0.8465  3 N 2.27-2.45
Dy2 0.6391 0.2500 0.1535  3 N 2.27-2.45
Ti1 0.1014 0.2500 0.6011  4 N 1.92-2.06
Ti2 0.8986 0.7500 0.3989  4 N 1.92-2.06
N1 0.1157 0.2500 0.8482  1 Ti 1.92
N2 0.1657 0.7500 0.5260  3 Ti 2.00-2.06
N3 0.4200 0.7500 0.1418  3 Dy 2.27-2.45
N4 0.5800 0.2500 0.8582  3 Dy 2.27-2.45
N5 0.8343 0.2500 0.4740  3 Ti 2.00-2.06
N6 0.8843 0.7500 0.1518  1 Ti 1.92

---

| no. | calculated total energy (eV/atom) | theoretical density (g/cm³) |
| --- | --- | --- |
| 1 | -4.85 | 6.76 |
| 2 | -3.30 | 2.20 |
| 3 | -8.21 | 7.54 |